w | {"formula": "Ta2TeCl", "functional": "PBE", "state": "relaxed", "density_g_cm3": 11.46, "cell": [[1.589, 0.917, 8.693], [-1.589, 0.917, 8.693], [0.000, -1.835, 8.693]], "species": ["Ta", "Ta", "Te", "Cl"], "frac_coords": [[0.249, 0.249, 0.249], [0.751, 0.751, 0.751], [0.000, 0.000, 0.000], [0.500, 0.500, 0.500]]}

=====

x | {"formula": "Ta2TeCl", "functional": "PBE", "state": "relaxed", "density_g_cm3": 10.14, "cell": [[3.519, 0.000, 0.000], [0.000, 3.569, 0.000], [0.000, 0.000, 6.850]], "species": ["Ta", "Ta", "Te", "Cl"], "frac_coords": [[0.000, 0.000, 0.196], [0.000, 0.000, 0.804], [0.500, 0.500, 0.000], [0.000, 0.500, 0.500]]}

=====

y | {"formula": "Ta2TeCl", "functional": "PBE", "state": "relaxed", "density_g_cm3": 11.17, "cell": [[-1.672, 2.414, 4.833], [1.672, -2.414, 4.833], [1.672, 2.414, -4.833]], "species": ["Ta", "Ta", "Te", "Cl"], "frac_coords": [[0.000, 0.000, 0.000], [0.711, 0.211, 0.500], [0.240, 0.740, 0.500], [0.519, 0.519, 0.000]]}

=====

Relative energies in meV per atom: w 0; x 17; y 40

=====

w | {"formula": "Ta2TeCl", "functional": "PBE", "state": "relaxed", "density_g_cm3": 10.94, "cell": [[-1.497, 2.899, 4.589], [1.497, -2.899, 4.589], [1.497, 2.899, -4.589]], "species": ["Ta", "Ta", "Te", "Cl"], "frac_coords": [[0.235, 0.235, 0.000], [0.765, 0.765, 0.000], [0.500, 0.000, 0.500], [0.000, 0.500, 0.500]]}

=====

x | {"formula": "Ta2TeCl", "functional": "PBE", "state": "relaxed", "density_g_cm3": 10.32, "cell": [[3.501, 0.000, 0.000], [0.000, 3.501, 0.000], [0.000, 0.000, 6.890]], "species": ["Ta", "Ta", "Te", "Cl"], "frac_coords": [[0.000, 0.000, 0.195], [0.000, 0.000, 0.805], [0.500, 0.500, 0.000], [0.500, 0.500, 0.500]]}

=====

Relative energies in meV per atom: w 0; x 25

=====

w | {"formula": "TaTe2Cl", "functional": "PBE", "state": "relaxed", "density_g_cm3": 8.73, "cell": [[0.000, 3.553, 3.553], [3.553, 0.000, 3.553], [3.553, 3.553, 0.000]], "species": ["Ta", "Te", "Te", "Cl"], "frac_coords": [[0.000, 0.000, 0.000], [0.250, 0.250, 0.250], [0.750, 0.750, 0.750], [0.500, 0.500, 0.500]]}

=====

x | {"formula": "TaTe2Cl", "functional": "PBE", "state": "relaxed", "density_g_cm3": 8.09, "cell": [[3.477, 0.000, 0.000], [0.000, 3.440, 0.000], [-1.552, 0.000, 8.098]], "species": ["Ta", "Te", "Te", "Cl"], "frac_coords": [[0.000, 0.000, 0.000], [0.415, 0.500, 0.797], [0.585, 0.500, 0.203], [0.000, 0.000, 0.500]]}

=====

Relative energies in meV per atom: w 341; x 0

=====

w | {"formula": "TaTeCl2", "functional": "PBE", "state": "relaxed", "density_g_cm3": 7.67, "cell": [[5.089, 0.000, 0.000], [0.000, 5.089, 0.000], [0.000, 0.000, 3.174]], "species": ["Ta", "Te", "Cl", "Cl"], "frac_coords": [[0.000, 0.000, 0.000], [0.500, 0.500, 0.000], [0.000, 0.500, 0.500], [0.500, 0.000, 0.500]]}

=====

x | {"formula": "TaTeCl2", "functional": "PBE", "state": "relaxed", "density_g_cm3": 6.89, "cell": [[1.749, -2.760, 0.000], [1.749, 2.760, 0.000], [0.000, 0.000, 9.478]], "species": ["Ta", "Te", "Cl", "Cl"], "frac_coords": [[0.000, 0.000, 0.000], [0.500, 0.500, 0.764], [0.000, 0.000, 0.516], [0.500, 0.500, 0.193]]}

=====

y | {"formula": "TaTeCl2", "functional": "PBE", "state": "relaxed", "density_g_cm3": 5.54, "cell": [[1.495, -3.040, 0.000], [1.495, 3.040, 0.000], [0.000, 0.000, 12.527]], "species": ["Ta", "Te", "Cl", "Cl"], "frac_coords": [[0.000, 0.000, 0.000], [0.000, 0.000, 0.500], [0.500, 0.500, 0.157], [0.500, 0.500, 0.843]]}

=====

z | {"formula": "TaTeCl2", "functional": "PBE", "state": "relaxed", "density_g_cm3": 7.66, "cell": [[3.144, 0.000, 0.000], [0.000, 4.837, 0.000], [0.000, 0.000, 5.409]], "species": ["Ta", "Te", "Cl", "Cl"], "frac_coords": [[0.000, 0.000, 0.000], [0.500, 0.000, 0.500], [0.000, 0.500, 0.500], [0.500, 0.500, 0.000]]}

=====

Relative energies in meV per atom: w 1074; x 286; y 0; z 696

=====

w | {"formula": "TaTeCl2", "functional": "PBE", "state": "relaxed", "density_g_cm3": 6.49, "cell": [[1.582, 0.914, 11.187], [-1.582, 0.914, 11.187], [0.000, -1.827, 11.187]], "species": ["Ta", "Te", "Cl", "Cl"], "frac_coords": [[0.000, 0.000, 0.000], [0.500, 0.500, 0.500], [0.280, 0.280, 0.280], [0.720, 0.720, 0.720]]}

=====

x | {"formula": "TaTeCl2", "functional": "PBE", "state": "relaxed", "density_g_cm3": 7.44, "cell": [[2.979, -4.776, 0.000], [2.979, 4.776, 0.000], [-2.079, 0.000, 2.977]], "species": ["Ta", "Te", "Cl", "Cl"], "frac_coords": [[0.000, 0.000, 0.000], [0.500, 0.500, 0.000], [0.000, 0.500, 0.500], [0.500, 0.000, 0.500]]}

=====

Relative energies in meV per atom: w 0; x 842

=====

w | {"formula": "TaTeCl2", "functional": "PBE", "state": "relaxed", "density_g_cm3": 6.02, "cell": [[-4.405, 4.405, 2.696], [4.405, -4.405, 2.696], [4.405, 4.405, -2.696]], "species": ["Ta", "Ta", "Te", "Te", "Cl", "Cl", "Cl", "Cl"], "frac_coords": [[0.000, 0.000, 0.000], [0.750, 0.250, 0.500], [0.250, 0.750, 0.500], [0.500, 0.500, 0.000], [0.375, 0.245, 0.370], [0.755, 0.125, 0.130], [0.875, 0.005, 0.630], [0.995, 0.625, 0.870]]}

=====

x | {"formula": "TaTeCl2", "functional": "PBE", "state": "relaxed", "density_g_cm3": 5.87, "cell": [[3.184, 0.000, 0.000], [0.000, 4.465, 0.000], [-0.756, 0.000, 7.545]], "species": ["Ta", "Te", "Cl", "Cl"], "frac_coords": [[0.000, 0.000, 0.000], [0.852, 0.500, 0.265], [0.045, 0.500, 0.875], [0.463, 0.000, 0.738]]}

=====

y | {"formula": "TaTeCl2", "functional": "PBE", "state": "relaxed", "density_g_cm3": 4.61, "cell": [[6.804, -1.636, 0.000], [6.804, 1.636, 0.000], [-3.704, 0.000, 6.136]], "species": ["Ta", "Te", "Cl", "Cl"], "frac_coords": [[0.000, 0.000, 0.000], [0.657, 0.657, 0.313], [0.360, 0.360, 0.000], [0.514, 0.514, 0.749]]}

=====

z | {"formula": "TaTeCl2", "functional": "PBE", "state": "relaxed", "density_g_cm3": 7.29, "cell": [[4.238, 0.000, 0.000], [0.000, 4.238, 0.000], [0.000, 0.000, 4.813]], "species": ["Ta", "Te", "Cl", "Cl"], "frac_coords": [[0.000, 0.000, 0.000], [0.500, 0.500, 0.000], [0.000, 0.500, 0.500], [0.500, 0.000, 0.500]]}

=====

Relative energies in meV per atom: w 369; x 347; y 0; z 1299

=====

w | {"formula": "TaTeCl2", "functional": "PBE", "state": "relaxed", "density_g_cm3": 5.57, "cell": [[-1.526, 2.376, 7.804], [1.526, -2.376, 7.804], [1.526, 2.376, -7.804]], "species": ["Ta", "Te", "Cl", "Cl"], "frac_coords": [[0.000, 0.000, 0.000], [0.154, 0.654, 0.500], [0.496, 0.496, 0.000], [0.874, 0.374, 0.500]]}

=====

x | {"formula": "TaTeCl2", "functional": "PBE", "state": "relaxed", "density_g_cm3": 5.30, "cell": [[2.766, -6.738, 0.000], [2.766, 6.738, 0.000], [0.000, 0.000, 3.187]], "species": ["Ta", "Te", "Cl", "Cl"], "frac_coords": [[0.000, 0.000, 0.000], [0.500, 0.500, 0.000], [0.141, 0.859, 0.500], [0.859, 0.141, 0.500]]}

=====

Relative energies in meV per atom: w 312; x 0

=====

w | {"formula": "TaTeCl2", "functional": "PBE", "state": "relaxed", "density_g_cm3": 7.68, "cell": [[-2.434, 2.434, 3.461], [2.434, -2.434, 3.461], [2.434, 2.434, -3.461]], "species": ["Ta", "Te", "Cl", "Cl"], "frac_coords": [[0.000, 0.000, 0.000], [0.250, 0.750, 0.500], [0.500, 0.500, 0.000], [0.750, 0.250, 0.500]]}

=====

x | {"formula": "TaTeCl2", "functional": "PBE", "state": "relaxed", "density_g_cm3": 7.49, "cell": [[2.949, -4.656, 0.000], [2.949, 4.656, 0.000], [0.000, 0.000, 3.066]], "species": ["Ta", "Te", "Cl", "Cl"], "frac_coords": [[0.000, 0.000, 0.000], [0.500, 0.500, 0.000], [0.000, 0.500, 0.500], [0.500, 0.000, 0.500]]}

=====

Relative energies in meV per atom: w 0; x 461